[1]
# PuTl2VF6, optimized geometry, DFT GGA+U
data_PuTl2VF6
_cell_length_a 6.3799
_cell_length_b 6.3888
_cell_length_c 8.9229
_cell_angle_alpha 90.00
_cell_angle_beta 90.00
_cell_angle_gamma 90.00
_symmetry_space_group_name_H-M 'P 1'
_symmetry_Int_Tables_number 1
_symmetry_space_group_name_Hall 'P 1'
loop_
_atom_site_label
_atom_site_fract_x
_atom_site_fract_y
_atom_site_fract_z
Pu1 0.0000 0.7099 0.5000
Pu2 0.5000 0.2901 0.0000
Tl1 0.5000 0.7669 0.2468
Tl2 0.0000 0.2331 0.7468
Tl3 0.5000 0.7669 0.7532
Tl4 0.0000 0.2331 0.2532
V1 0.5000 0.2290 0.5000
V2 0.0000 0.7710 0.0000
F1 0.5000 0.2221 0.2606
F2 0.5000 0.2221 0.7394
F3 0.0000 0.7779 0.2394
F4 0.0000 0.7779 0.7606
F5 0.2516 0.0028 0.5000
F6 0.7484 0.0028 0.5000
F7 0.2736 0.4737 0.5000
F8 0.7264 0.4737 0.5000
F9 0.7736 0.5263 0.0000
F10 0.2264 0.5263 0.0000
F11 0.2484 0.9972 0.0000
F12 0.7516 0.9972 0.0000
# **Crystal system**: orthorhombic
# **SG**: Pmmn (59)
# **Energy**: -124.7 eV per cell

[2]
# PuTl2V3F12, optimized geometry, DFT GGA+U
data_PuTl2V3F12
_cell_length_a 7.2728
_cell_length_b 7.2728
_cell_length_c 7.2728
_cell_angle_alpha 64.42
_cell_angle_beta 64.42
_cell_angle_gamma 64.42
_symmetry_space_group_name_H-M 'P 1'
_symmetry_Int_Tables_number 1
_symmetry_space_group_name_Hall 'P 1'
loop_
_atom_site_label
_atom_site_fract_x
_atom_site_fract_y
_atom_site_fract_z
Pu1 0.0000 0.0000 0.0000
Tl1 0.6210 0.6210 0.6210
Tl2 0.3790 0.3790 0.3790
V1 0.5000 0.0000 0.0000
V2 0.0000 0.5000 0.0000
V3 0.0000 0.0000 0.5000
F1 0.2689 0.2689 0.9046
F2 0.8759 0.8759 0.3866
F3 0.3866 0.8759 0.8759
F4 0.9046 0.2689 0.2689
F5 0.8759 0.3866 0.8759
F6 0.2689 0.9046 0.2689
F7 0.7311 0.7311 0.0954
F8 0.1241 0.1241 0.6134
F9 0.6134 0.1241 0.1241
F10 0.0954 0.7311 0.7311
F11 0.1241 0.6134 0.1241
F12 0.7311 0.0954 0.7311
# **Crystal system**: trigonal
# **SG**: R-3m (166)
# **Energy**: -112.9 eV per cell